# 1
{
  "formula": "LaMoCl2",
  "functional": "meta-GGA SCAN",
  "state": "single point on PBEsol structure",
  "e_form_raw_ev_per_atom": -0.7550,
  "space_group": "C2/m (12)",
  "magnetic_moment_mub_per_atom": 0.6620,
  "crystal_system": "monoclinic",
  "lattice": [[3.488, 0.000, 0.000], [0.000, 4.980, 0.032], [-1.744, -0.139, 5.513]],
  "species": ["Cl", "La", "Cl", "Mo"],
  "fractional_positions": [[0.819, 0.757, 0.637], [0.500, 0.000, 0.000], [0.181, 0.243, 0.363], [0.000, 0.500, 0.000]]
}

---

# 2
{
  "formula": "LaMo2Cl",
  "functional": "meta-GGA SCAN",
  "state": "single point on PBEsol structure",
  "e_form_raw_ev_per_atom": 1.2602,
  "space_group": "Fm-3m (225)",
  "magnetic_moment_mub_per_atom": 0.0002,
  "crystal_system": "cubic",
  "lattice": [[4.628, 0.000, 0.000], [2.314, 4.008, 0.000], [2.314, 1.336, 3.779]],
  "species": ["Cl", "Mo", "La", "Mo"],
  "fractional_positions": [[0.000, 0.000, 0.000], [0.250, 0.250, 0.250], [0.500, 0.500, 0.500], [0.750, 0.750, 0.750]]
}

---

# 3
{
  "formula": "La2NCl3",
  "functional": "meta-GGA SCAN",
  "state": "single point on PBEsol structure",
  "e_form_raw_ev_per_atom": -2.5237,
  "space_group": "Ibam (72)",
  "magnetic_moment_mub_per_atom": 0.0000,
  "crystal_system": "orthorhombic",
  "lattice": [[6.053, 0.000, 0.000], [0.000, 6.822, 0.000], [-3.027, -3.411, 6.852]],
  "species": ["Cl", "Cl", "La", "N", "N", "Cl", "La", "Cl", "Cl", "Cl", "La", "La"],
  "fractional_positions": [[0.804, 0.613, 0.608], [0.196, 0.387, 0.392], [0.095, 0.916, 0.190], [0.750, 0.000, 0.000], [0.250, 0.000, 0.000], [0.750, 0.500, 0.000], [0.905, 0.084, 0.810], [0.250, 0.500, 0.000], [0.304, 0.996, 0.608], [0.696, 0.004, 0.392], [0.405, 0.726, 0.810], [0.595, 0.274, 0.190]]
}

---

# 4
{
  "formula": "Na2LaCl",
  "functional": "meta-GGA SCAN",
  "state": "single point on PBEsol structure",
  "e_form_raw_ev_per_atom": 0.0303,
  "space_group": "Fm-3m (225)",
  "magnetic_moment_mub_per_atom": 0.0058,
  "crystal_system": "cubic",
  "lattice": [[-1.486, 5.290, -0.851], [-5.380, 1.402, -0.053], [-2.134, 2.993, 4.171]],
  "species": ["Na", "Cl", "La", "Na"],
  "fractional_positions": [[0.750, 0.750, 0.750], [0.000, 0.000, 0.000], [0.500, 0.500, 0.500], [0.250, 0.250, 0.250]]
}

---

# 5
{
  "formula": "Na3La5Cl18",
  "functional": "meta-GGA SCAN",
  "state": "single point on PBEsol structure",
  "e_form_raw_ev_per_atom": -2.5517,
  "space_group": "P-6 (174)",
  "magnetic_moment_mub_per_atom": 0.0000,
  "crystal_system": "hexagonal",
  "lattice": [[-6.232, -4.144, -0.914], [6.644, -2.593, -2.446], [2.026, -5.559, 11.394]],
  "species": ["Cl", "Cl", "Cl", "La", "La", "Na", "Cl", "Cl", "Cl", "Cl", "La", "Cl", "La", "La", "Na", "Cl", "Cl", "Cl", "Cl", "Cl", "Na", "Cl", "Cl", "Cl", "Cl", "Cl"],
  "fractional_positions": [[0.420, 0.367, 0.165], [0.253, 0.973, 0.673], [0.947, 0.580, 0.835], [0.667, 0.333, 0.659], [0.000, 0.000, 0.169], [0.333, 0.667, 0.728], [0.025, 0.274, 0.000], [0.253, 0.973, 0.327], [0.027, 0.280, 0.673], [0.945, 0.573, 0.500], [0.667, 0.333, 0.000], [0.726, 0.751, 0.000], [0.000, 0.000, 0.831], [0.667, 0.333, 0.341], [0.000, 0.000, 0.500], [0.027, 0.280, 0.327], [0.420, 0.367, 0.835], [0.628, 0.055, 0.500], [0.427, 0.372, 0.500], [0.249, 0.975, 0.000], [0.333, 0.667, 0.272], [0.633, 0.053, 0.165], [0.720, 0.747, 0.327], [0.633, 0.053, 0.835], [0.947, 0.580, 0.165], [0.720, 0.747, 0.673]]
}

---

# 6
{
  "formula": "NaLa2ClO",
  "functional": "meta-GGA SCAN",
  "state": "single point on PBEsol structure",
  "e_form_raw_ev_per_atom": -1.5178,
  "space_group": "P4/mmm (123)",
  "magnetic_moment_mub_per_atom": 0.0000,
  "crystal_system": "tetragonal",
  "lattice": [[4.726, 0.000, 0.000], [0.000, 4.726, 0.000], [0.000, 0.000, 6.283]],
  "species": ["Cl", "Na", "O", "La", "La"],
  "fractional_positions": [[0.000, 0.000, 0.500], [0.500, 0.500, 0.500], [0.000, 0.000, 0.000], [0.000, 0.500, 0.000], [0.500, 0.000, 0.000]]
}

---

# 7
{
  "formula": "Na2LaPbCl",
  "functional": "meta-GGA SCAN",
  "state": "single point on PBEsol structure",
  "e_form_raw_ev_per_atom": -0.9642,
  "space_group": "P4/mmm (123)",
  "magnetic_moment_mub_per_atom": 0.0000,
  "crystal_system": "tetragonal",
  "lattice": [[-4.078, -2.431, -1.522], [2.865, -3.344, -2.337], [0.136, -3.203, 4.750]],
  "species": ["Pb", "Na", "Cl", "La", "Na"],
  "fractional_positions": [[0.500, 0.500, 0.500], [0.500, 0.000, 0.000], [0.000, 0.000, 0.000], [0.000, 0.000, 0.500], [0.000, 0.500, 0.000]]
}

---

# 8
{
  "formula": "NaLaSCl2",
  "functional": "meta-GGA SCAN",
  "state": "single point on PBEsol structure",
  "e_form_raw_ev_per_atom": -1.7378,
  "space_group": "P4/mmm (123)",
  "magnetic_moment_mub_per_atom": 0.0000,
  "crystal_system": "tetragonal",
  "lattice": [[4.674, 0.000, 0.000], [0.000, 4.674, 0.000], [0.000, 0.000, 5.187]],
  "species": ["La", "Cl", "S", "Cl", "Na"],
  "fractional_positions": [[0.500, 0.500, 0.500], [0.500, 0.000, 0.000], [0.000, 0.000, 0.500], [0.000, 0.500, 0.000], [0.000, 0.000, 0.000]]
}

---

# 9
{
  "formula": "La3NbCl",
  "functional": "meta-GGA SCAN",
  "state": "single point on PBEsol structure",
  "e_form_raw_ev_per_atom": -0.0086,
  "space_group": "Pm-3m (221)",
  "magnetic_moment_mub_per_atom": 0.0002,
  "crystal_system": "cubic",
  "lattice": [[5.578, 0.000, 0.000], [0.000, 5.578, 0.000], [0.000, 0.000, 5.578]],
  "species": ["La", "Nb", "La", "La", "Cl"],
  "fractional_positions": [[0.000, 0.000, 0.500], [0.000, 0.000, 0.000], [0.500, 0.000, 0.000], [0.000, 0.500, 0.000], [0.500, 0.500, 0.500]]
}

---

# 10
{
  "formula": "LaNbCl2",
  "functional": "meta-GGA SCAN",
  "state": "single point on PBEsol structure",
  "e_form_raw_ev_per_atom": -0.6985,
  "space_group": "I-42d (122)",
  "magnetic_moment_mub_per_atom": 0.3328,
  "crystal_system": "tetragonal",
  "lattice": [[4.705, 0.000, 0.000], [0.000, 4.705, 0.000], [-2.352, -2.352, 8.418]],
  "species": ["La", "La", "Nb", "Nb", "Cl", "Cl", "Cl", "Cl"],
  "fractional_positions": [[0.250, 0.750, 0.500], [0.000, 0.000, 0.000], [0.500, 0.500, 0.000], [0.750, 0.250, 0.500], [0.625, 0.576, 0.750], [0.125, 0.174, 0.750], [0.424, 0.875, 0.250], [0.826, 0.375, 0.250]]
}

---

# 11
{
  "formula": "LaNb2ClO6",
  "functional": "meta-GGA SCAN",
  "state": "single point on PBEsol structure",
  "e_form_raw_ev_per_atom": -2.9740,
  "space_group": "Pnma (62)",
  "magnetic_moment_mub_per_atom": 0.0000,
  "crystal_system": "orthorhombic",
  "lattice": [[-6.539, 2.947, 1.534], [-3.770, -6.590, -3.411], [0.009, -4.533, 8.748]],
  "species": ["O", "Nb", "O", "O", "O", "Nb", "O", "O", "La", "La", "O", "O", "La", "O", "Nb", "Nb", "O", "Cl", "Nb", "Nb", "O", "O", "O", "Cl", "O", "Nb", "O", "O", "O", "Cl", "O", "La", "O", "Cl", "O", "O", "O", "Nb", "O", "O"],
  "fractional_positions": [[0.545, 0.615, 0.825], [0.000, 0.000, 0.500], [0.250, 0.582, 0.999], [0.955, 0.615, 0.825], [0.556, 0.701, 0.103], [0.500, 0.000, 0.500], [0.750, 0.916, 0.830], [0.045, 0.115, 0.675], [0.750, 0.191, 0.823], [0.250, 0.809, 0.177], [0.250, 0.416, 0.670], [0.955, 0.885, 0.325], [0.250, 0.691, 0.677], [0.750, 0.082, 0.501], [0.250, 0.269, 0.264], [0.250, 0.231, 0.764], [0.545, 0.885, 0.325], [0.750, 0.072, 0.106], [0.000, 0.500, 0.000], [0.750, 0.769, 0.236], [0.045, 0.385, 0.175], [0.750, 0.418, 0.001], [0.944, 0.701, 0.103], [0.250, 0.572, 0.394], [0.455, 0.385, 0.175], [0.500, 0.500, 0.000], [0.250, 0.918, 0.499], [0.750, 0.584, 0.330], [0.556, 0.799, 0.603], [0.750, 0.428, 0.606], [0.250, 0.084, 0.170], [0.750, 0.309, 0.323], [0.444, 0.299, 0.897], [0.250, 0.928, 0.894], [0.056, 0.299, 0.897], [0.944, 0.799, 0.603], [0.056, 0.201, 0.397], [0.750, 0.731, 0.736], [0.455, 0.115, 0.675], [0.444, 0.201, 0.397]]
}

---

# 12
{
  "formula": "Rb2LaNb2ClO7",
  "functional": "meta-GGA SCAN",
  "state": "single point on PBEsol structure",
  "e_form_raw_ev_per_atom": -2.8666,
  "space_group": "P4/mmm (123)",
  "magnetic_moment_mub_per_atom": 0.0000,
  "crystal_system": "tetragonal",
  "lattice": [[3.891, 0.000, 0.000], [0.000, 3.891, 0.000], [0.000, 0.000, 15.011]],
  "species": ["Nb", "O", "O", "La", "Rb", "O", "O", "Cl", "O", "O", "Rb", "Nb", "O"],
  "fractional_positions": [[0.000, 0.000, 0.849], [0.000, 0.000, 0.000], [0.000, 0.500, 0.878], [0.500, 0.500, 0.000], [0.500, 0.500, 0.369], [0.500, 0.000, 0.878], [0.000, 0.500, 0.122], [0.000, 0.000, 0.500], [0.500, 0.000, 0.122], [0.000, 0.000, 0.729], [0.500, 0.500, 0.631], [0.000, 0.000, 0.151], [0.000, 0.000, 0.271]]
}